Entry w
Crystalline Fe2PtW at its relaxed geometry. Source: the Alexandria database, functional PBEsol.

For the magnetization, the calculation gives 5.87 Bohr magnetons per cell.

The space group is I-4m2 (No. 119) and the conventional cell measures 3.696, 3.696 and 7.550 Å, with angles of 90.00, 90.00 and 90.00 degrees. The distinct sites, in fractional coordinates, are Fe at (0.000, 0.000, 0.000), Fe at (0.000, 0.500, 0.250), Pt at (0.000, 0.500, 0.750) and W at (0.000, 0.000, 0.500).



Entry x
Crystalline Fe2PtW at its relaxed geometry. Source: the Alexandria database, functional PBEsol.

For the magnetization, the calculation gives 2.77 Bohr magnetons per cell.

The space group is Pmm2 (No. 25) and the conventional cell measures 2.663, 3.665 and 5.304 Å, with angles of 90.00, 90.00 and 90.00 degrees. The distinct sites, in fractional coordinates, are Fe at (0.000, 0.000, 0.000), Fe at (0.500, 0.500, 0.216), Pt at (0.000, 0.000, 0.478) and W at (0.500, 0.500, 0.763).



Entry y
Crystalline Fe2PtW at its relaxed geometry. Source: the Alexandria database, functional PBEsol.

For the magnetization, the calculation gives 0.00 Bohr magnetons per cell.

The space group is P4/mmm (No. 123) and the conventional cell measures 3.765, 3.765 and 3.521 Å, with angles of 90.00, 90.00 and 90.00 degrees. The distinct sites, in fractional coordinates, are Fe at (0.000, 0.500, 0.000), Pt at (0.000, 0.000, 0.500) and W at (0.500, 0.500, 0.500).



Of them, entry y has the highest stability.



Entry w
Crystalline FePtW2 at its relaxed geometry. Source: the Alexandria database, functional PBEsol.

For the magnetization, the calculation gives 0.00 Bohr magnetons per cell.

The space group is P2/m (No. 10) and the conventional cell measures 2.711, 3.799 and 5.444 Å, with angles of 90.00, 90.09 and 90.00 degrees. The distinct sites, in fractional coordinates, are Fe at (0.000, 0.000, 0.000), Pt at (0.000, 0.000, 0.500) and W at (0.499, 0.500, 0.231).



Entry x
Crystalline FePtW2 at its relaxed geometry. Source: the Alexandria database, functional PBEsol.

For the magnetization, the calculation gives 0.00 Bohr magnetons per cell.

The space group is P4/mmm (No. 123) and the conventional cell measures 3.803, 3.803 and 3.866 Å, with angles of 90.00, 90.00 and 90.00 degrees. The distinct sites, in fractional coordinates, are Fe at (0.000, 0.000, 0.000), Pt at (0.500, 0.500, 0.000) and W at (0.000, 0.500, 0.500).



Of them, entry x has the highest stability.



Entry w
Crystalline Sr2FeRe at its relaxed geometry. Source: the Alexandria database, functional PBEsol.

For the magnetization, the calculation gives 5.23 Bohr magnetons per cell.

The space group is Cmmm (No. 65) and the conventional cell measures 6.112, 9.753 and 2.878 Å, with angles of 90.00, 90.00 and 90.00 degrees. The distinct sites, in fractional coordinates, are Sr at (0.250, 0.250, 0.000), Fe at (0.000, 0.000, 0.500) and Re at (0.000, 0.500, 0.500).



Entry x
Crystalline Sr2FeRe at its relaxed geometry. Source: the Alexandria database, functional PBEsol.

For the magnetization, the calculation gives 4.85 Bohr magnetons per cell.

The space group is C2/m (No. 12) and the conventional cell measures 10.050, 2.829 and 6.036 Å, with angles of 90.00, 93.84 and 90.00 degrees. The distinct sites, in fractional coordinates, are Sr at (0.247, 0.000, 0.251), Fe at (0.000, 0.000, 0.500) and Re at (0.000, 0.500, 0.000).



Of them, entry w has the highest stability.



Entry w
Crystalline TlFeRe2 at its relaxed geometry. Source: the Alexandria database, functional PBEsol.

For the magnetization, the calculation gives 1.49 Bohr magnetons per cell.

The space group is P4/mmm (No. 123) and the conventional cell measures 2.816, 2.816 and 7.651 Å, with angles of 90.00, 90.00 and 90.00 degrees. The distinct sites, in fractional coordinates, are Tl at (0.000, 0.000, 0.000), Fe at (0.000, 0.000, 0.500) and Re at (0.500, 0.500, 0.294).



Entry x
Crystalline TlFeRe2 at its relaxed geometry. Source: the Alexandria database, functional PBEsol.

For the magnetization, the calculation gives 4.41 Bohr magnetons per cell.

The space group is Imm2 (No. 44) and the conventional cell measures 3.224, 4.417 and 8.527 Å, with angles of 90.00, 90.00 and 90.00 degrees. The distinct sites, in fractional coordinates, are Tl at (0.000, 0.000, 0.000), Fe at (0.000, 0.500, 0.747), Re at (0.000, 0.000, 0.479) and Re at (0.000, 0.500, 0.229).



Of them, entry w has the highest stability.